# 1
The following is a DFT calculation (PBE) of a relaxed structure of MnSi2Ir.

- Crystal system: tetragonal
- Total energy: -30.75 eV/cell
- Total moment: 0.0 μB per formula unit

Unit cell a=2.8802 b=2.8802 c=5.7932 alpha=90.00 beta=90.00 gamma=90.00
With the nearest neighbours (Å) after each atom.
Space group P4/mmm (No. 123)
Unique sites:
Mn (0.0000, 0.0000, 0.0000) x1  8 Si 2.40
Si (0.5000, 0.5000, 0.2208) x2  4 Mn 2.40, 1 Si 2.56, 4 Ir 2.60
Ir (0.0000, 0.0000, 0.5000) x1  8 Si 2.60, 4 Ir 2.88, 2 Mn 2.90

---

# 2
The following is a DFT calculation (PBE) of a relaxed structure of MnSiIr.

- Energy above the most stable polymorph in this dataset: 0 meV/atom
- Crystal system: orthorhombic
- Total energy: -100.22 eV/cell
- Total moment: 3.6 μB per formula unit

Unit cell a=6.0437 b=3.8666 c=7.2404 alpha=90.00 beta=90.00 gamma=90.00
With the nearest neighbours (Å) after each atom.
Space group Pnma (No. 62)
Unique sites:
Mn (0.0310, 0.2500, 0.1810) x4  5 Si 2.62-2.69, 6 Ir 2.81-2.93
Si (0.2332, 0.7500, 0.3772) x4  4 Ir 2.36-2.44, 1 Mn 2.62
Ir (0.1638, 0.2500, 0.5629) x4  4 Si 2.36-2.44

---

# 3
The following is a DFT calculation (PBE) of a relaxed structure of MnSiIr2.

- Crystal system: orthorhombic
- Total energy: -66.83 eV/cell
- Total moment: 2.7 μB per formula unit

Unit cell a=2.8501 b=4.2648 c=8.8528 alpha=90.00 beta=90.00 gamma=90.00
With the nearest neighbours (Å) after each atom.
Space group Imm2 (No. 44)
Unique sites:
Mn (0.0000, 0.0000, 0.0000) x2  2 Si 2.44, 4 Ir 2.61
Si (0.0000, 0.5000, 0.7238) x2  6 Ir 2.42-2.56, 2 Mn 2.44
Ir (0.0000, 0.0000, 0.4449) x2  2 Si 2.42, 4 Mn 2.61
Ir (0.0000, 0.5000, 0.2255) x2  4 Si 2.56, 2 Mn 2.82, 4 Ir 2.85-2.86

---

# 4
The following is a DFT calculation (PBE) of a relaxed structure of Mn2SiIr2.

- Crystal system: tetragonal
- Total energy: -82.33 eV/cell
- Total moment: 6.0 μB per formula unit

Unit cell a=7.0846 b=7.0846 c=2.9101 alpha=90.00 beta=90.00 gamma=90.00
With the nearest neighbours (Å) after each atom.
Space group P4/mbm (No. 127)
Unique sites:
Mn (0.1604, 0.3396, 0.0000) x4  6 Ir 2.49-2.57
Si (0.0000, 0.0000, 0.5000) x2  4 Ir 2.74, 2 Si 2.91, 8 Mn 3.03
Ir (0.1381, 0.6381, 0.5000) x4  6 Mn 2.49-2.57, 2 Si 2.74, 1 Ir 2.77

---

# 5
The following is a DFT calculation (PBE) of a relaxed structure of Mn2SiIr.

- Crystal system: tetragonal
- Total energy: -67.44 eV/cell
- Total moment: 3.2 μB per formula unit

Unit cell a=3.6201 b=3.6201 c=7.5585 alpha=90.00 beta=90.00 gamma=90.00
With the nearest neighbours (Å) after each atom.
Space group I4/mmm (No. 139)
Unique sites:
Mn (0.0000, 0.5000, 0.2500) x4  4 Mn 2.56, 4 Ir 2.62, 4 Si 2.62
Si (0.0000, 0.0000, 0.0000) x2  4 Ir 2.56, 8 Mn 2.62
Ir (0.0000, 0.0000, 0.5000) x2  4 Si 2.56, 8 Mn 2.62

---

# 6
The following is a DFT calculation (PBE) of a relaxed structure of MnSi2Ir.

- Crystal system: cubic
- Total energy: -114.77 eV/cell
- Total moment: 3.0 μB per formula unit

Unit cell a=6.0334 b=6.0334 c=6.0334 alpha=90.00 beta=90.00 gamma=90.00
With the nearest neighbours (Å) after each atom.
Space group F-43m (No. 216)
Unique sites:
Mn (0.0000, 0.0000, 0.0000) x4  4 Ir 2.61, 4 Si 2.61
Si (0.0000, 0.0000, 0.5000) x4  4 Ir 2.61, 4 Si 2.61
Si (0.2500, 0.2500, 0.7500) x4  4 Mn 2.61, 4 Si 2.61
Ir (0.2500, 0.2500, 0.2500) x4  4 Mn 2.61, 4 Si 2.61

---

# 7
The following is a DFT calculation (PBE) of a relaxed structure of MnSiIr2.

- Crystal system: tetragonal
- Total energy: -66.57 eV/cell
- Total moment: 2.0 μB per formula unit

Unit cell a=3.7312 b=3.7312 c=7.6985 alpha=90.00 beta=90.00 gamma=90.00
With the nearest neighbours (Å) after each atom.
Space group I-4m2 (No. 119)
Unique sites:
Mn (0.0000, 0.0000, 0.0000) x2  8 Ir 2.64-2.68, 4 Si 2.68
Si (0.0000, 0.5000, 0.7500) x2  8 Ir 2.64-2.68, 4 Mn 2.68
Ir (0.0000, 0.0000, 0.5000) x2  4 Mn 2.64, 4 Ir 2.68, 4 Si 2.68
Ir (0.0000, 0.5000, 0.2500) x2  4 Si 2.64, 4 Mn 2.68, 4 Ir 2.68

---

# 8
The following is a DFT calculation (PBE) of a relaxed structure of MnSiIr2.

- Crystal system: orthorhombic
- Total energy: -33.70 eV/cell
- Total moment: 4.4 μB per formula unit

Unit cell a=2.8908 b=3.2475 c=5.8702 alpha=90.00 beta=90.00 gamma=90.00
With the nearest neighbours (Å) after each atom.
Space group Pmmm (No. 47)
Unique sites:
Mn (0.0000, 0.0000, 0.0000) x1  8 Ir 2.67, 2 Mn 2.89, 2 Si 2.94
Si (0.0000, 0.0000, 0.5000) x1  8 Ir 2.58
Ir (0.5000, 0.5000, 0.2646) x2  4 Si 2.58, 4 Mn 2.67, 1 Ir 2.76

---

# 9
The following is a DFT calculation (PBE) of a relaxed structure of MnSiIr2.

- Crystal system: trigonal
- Total energy: -99.29 eV/cell
- Total moment: 1.2 μB per formula unit

Unit cell a=2.7445 b=2.7445 c=24.5199 alpha=90.00 beta=90.00 gamma=120.00
With the nearest neighbours (Å) after each atom.
Space group R3m (No. 160, hexagonal axes)
Unique sites:
Mn (0.0000, 0.0000, 0.0000) x3  3 Si 2.47, 3 Ir 2.56, 6 Mn 2.74
Si (0.0000, 0.0000, 0.2563) x3  3 Mn 2.47, 3 Ir 2.48, 6 Si 2.74
Ir (0.0000, 0.0000, 0.5119) x3  3 Si 2.48, 6 Ir 2.74
Ir (0.0000, 0.0000, 0.7485) x3  3 Mn 2.56, 9 Ir 2.74-2.85

---

# 10
The following is a DFT calculation (PBE) of a relaxed structure of MnSiIr2.

- Crystal system: tetragonal
- Total energy: -67.83 eV/cell
- Total moment: 3.7 μB per formula unit

Unit cell a=4.0019 b=4.0019 c=6.7876 alpha=90.00 beta=90.00 gamma=90.00
With the nearest neighbours (Å) after each atom.
Space group I4/mmm (No. 139)
Unique sites:
Mn (0.0000, 0.0000, 0.0000) x2  8 Ir 2.62, 4 Si 2.83
Si (0.0000, 0.0000, 0.5000) x2  8 Ir 2.62, 4 Mn 2.83
Ir (0.0000, 0.5000, 0.2500) x4  4 Mn 2.62, 4 Si 2.62, 4 Ir 2.83

---

# 11
The following is a DFT calculation (PBE) of a relaxed structure of MnSiIr2.

- Crystal system: cubic
- Total energy: -128.41 eV/cell
- Total moment: 2.5 μB per formula unit

Unit cell a=6.0521 b=6.0521 c=6.0521 alpha=90.00 beta=90.00 gamma=90.00
With the nearest neighbours (Å) after each atom.
Space group F-43m (No. 216)
Unique sites:
Mn (0.0000, 0.0000, 0.0000) x4  4 Ir 2.62, 4 Si 2.62
Si (0.2500, 0.2500, 0.7500) x4  4 Mn 2.62, 4 Ir 2.62
Ir (0.0000, 0.0000, 0.5000) x4  4 Si 2.62, 4 Ir 2.62
Ir (0.2500, 0.2500, 0.2500) x4  4 Ir 2.62, 4 Mn 2.62

---

# 12
The following is a DFT calculation (PBE) of a relaxed structure of Mn2SiIr.

- Crystal system: tetragonal
- Total energy: -32.80 eV/cell
- Total moment: 4.2 μB per formula unit

Unit cell a=4.3667 b=4.3667 c=2.6849 alpha=90.00 beta=90.00 gamma=90.00
With the nearest neighbours (Å) after each atom.
Space group P4/mmm (No. 123)
Unique sites:
Mn (0.0000, 0.5000, 0.0000) x2  4 Ir 2.56, 4 Si 2.56, 2 Mn 2.68
Si (0.0000, 0.0000, 0.5000) x1  8 Mn 2.56, 2 Si 2.68
Ir (0.5000, 0.5000, 0.5000) x1  8 Mn 2.56, 2 Ir 2.68

---

> Which value of total moment does entry 2 give?

3.6 μB per formula unit